Entry i
{"formula": "Dy2Ga5Rh3", "functional": "PBE", "state": "relaxed", "sg": "Ibam", "lattice": [[-4.935, 6.436, 2.830], [4.935, -6.436, 2.830], [4.935, 6.436, -2.830]], "species": ["Dy", "Dy", "Dy", "Dy", "Ga", "Ga", "Ga", "Ga", "Ga", "Ga", "Ga", "Ga", "Ga", "Ga", "Rh", "Rh", "Rh", "Rh", "Rh", "Rh"], "frac_coords": [[0.142, 0.226, 0.368], [0.358, 0.726, 0.083], [0.642, 0.274, 0.917], [0.858, 0.774, 0.632], [0.049, 0.750, 0.299], [0.086, 0.680, 0.765], [0.250, 0.250, 0.000], [0.414, 0.180, 0.594], [0.451, 0.750, 0.701], [0.549, 0.250, 0.299], [0.586, 0.820, 0.406], [0.750, 0.750, 0.000], [0.914, 0.320, 0.235], [0.951, 0.250, 0.701], [0.151, 0.914, 0.065], [0.250, 0.750, 0.500], [0.349, 0.414, 0.763], [0.651, 0.586, 0.237], [0.750, 0.250, 0.500], [0.849, 0.086, 0.935]]}

---

Entry ii
{"formula": "Dy2Ga5Rh3", "functional": "PBE", "state": "relaxed", "sg": "Cmc2_1", "lattice": [[2.150, -12.218, 0.000], [2.150, 12.218, 0.000], [0.000, 0.000, 6.797]], "species": ["Dy", "Dy", "Dy", "Dy", "Ga", "Ga", "Ga", "Ga", "Ga", "Ga", "Ga", "Ga", "Ga", "Ga", "Rh", "Rh", "Rh", "Rh", "Rh", "Rh"], "frac_coords": [[0.022, 0.978, 0.500], [0.324, 0.676, 0.433], [0.676, 0.324, 0.933], [0.978, 0.022, 0.000], [0.102, 0.898, 0.136], [0.205, 0.795, 0.618], [0.210, 0.790, 0.222], [0.374, 0.626, 0.985], [0.448, 0.552, 0.326], [0.552, 0.448, 0.826], [0.626, 0.374, 0.485], [0.790, 0.210, 0.722], [0.795, 0.205, 0.118], [0.898, 0.102, 0.636], [0.108, 0.892, 0.754], [0.272, 0.728, 0.916], [0.450, 0.550, 0.714], [0.550, 0.450, 0.214], [0.728, 0.272, 0.416], [0.892, 0.108, 0.254]]}

---

Energy relative to the most stable one, in kJ/mol of atoms: entry i 0.0; entry ii 5.7

---

Entry i
{"formula": "DyGa3Rh", "functional": "PBE", "state": "relaxed", "sg": "Pm-3m", "lattice": [[6.431, 0.000, 0.000], [0.000, 6.431, 0.000], [0.000, 0.000, 6.431]], "species": ["Dy", "Dy", "Dy", "Ga", "Ga", "Ga", "Ga", "Ga", "Ga", "Ga", "Ga", "Ga", "Rh", "Rh", "Rh"], "frac_coords": [[0.000, 0.000, 0.500], [0.000, 0.500, 0.000], [0.500, 0.000, 0.000], [0.000, 0.000, 0.000], [0.289, 0.289, 0.289], [0.289, 0.289, 0.711], [0.289, 0.711, 0.289], [0.289, 0.711, 0.711], [0.711, 0.289, 0.289], [0.711, 0.289, 0.711], [0.711, 0.711, 0.289], [0.711, 0.711, 0.711], [0.000, 0.500, 0.500], [0.500, 0.000, 0.500], [0.500, 0.500, 0.000]]}

---

Entry ii
{"formula": "DyGa3Rh", "functional": "PBE", "state": "relaxed", "sg": "C2/m", "lattice": [[5.364, -3.091, 0.000], [5.364, 3.091, 0.000], [-0.001, 0.000, 5.637]], "species": ["Dy", "Dy", "Ga", "Ga", "Ga", "Ga", "Ga", "Ga", "Rh", "Rh"], "frac_coords": [[0.166, 0.166, 0.251], [0.834, 0.834, 0.749], [0.115, 0.692, 0.250], [0.307, 0.307, 0.750], [0.308, 0.885, 0.750], [0.692, 0.115, 0.250], [0.693, 0.693, 0.250], [0.885, 0.308, 0.750], [0.500, 0.500, 0.000], [0.500, 0.500, 0.500]]}

---

Energy relative to the most stable one, in kJ/mol of atoms: entry i 0.0; entry ii 12.3

---

Entry i
{"formula": "Dy3Ga4Rh2", "functional": "PBE", "state": "relaxed", "sg": "C2/m", "lattice": [[5.198, -2.155, 0.000], [5.198, 2.155, 0.000], [-1.999, 0.000, 8.078]], "species": ["Dy", "Dy", "Dy", "Ga", "Ga", "Ga", "Ga", "Rh", "Rh"], "frac_coords": [[0.000, 0.000, 0.000], [0.377, 0.377, 0.623], [0.623, 0.623, 0.377], [0.086, 0.086, 0.652], [0.296, 0.296, 0.934], [0.704, 0.704, 0.066], [0.914, 0.914, 0.348], [0.300, 0.300, 0.244], [0.700, 0.700, 0.756]]}

---

Entry ii
{"formula": "Dy3Ga4Rh2", "functional": "PBE", "state": "relaxed", "sg": "C2/m", "lattice": [[5.369, -2.157, 0.000], [5.369, 2.157, 0.000], [-3.456, 0.000, 7.757]], "species": ["Dy", "Dy", "Dy", "Ga", "Ga", "Ga", "Ga", "Rh", "Rh"], "frac_coords": [[0.000, 0.000, 0.000], [0.314, 0.314, 0.362], [0.686, 0.686, 0.638], [0.021, 0.021, 0.359], [0.272, 0.272, 0.930], [0.728, 0.728, 0.070], [0.979, 0.979, 0.641], [0.403, 0.403, 0.736], [0.597, 0.597, 0.264]]}

---

Energy relative to the most stable one, in kJ/mol of atoms: entry i 4.1; entry ii 0.0

---

Entry i
{"formula": "TbDyGaRh", "functional": "PBE", "state": "relaxed", "sg": "F-43m", "lattice": [[0.000, 3.517, 3.517], [3.517, 0.000, 3.517], [3.517, 3.517, 0.000]], "species": ["Tb", "Dy", "Ga", "Rh"], "frac_coords": [[0.000, 0.000, 0.000], [0.500, 0.500, 0.500], [0.250, 0.250, 0.250], [0.750, 0.750, 0.750]]}

---

Entry ii
{"formula": "TbDyGaRh", "functional": "PBE", "state": "relaxed", "sg": "Amm2", "lattice": [[4.268, 0.000, 0.000], [0.000, 1.986, 5.345], [0.000, -1.986, 5.345]], "species": ["Tb", "Dy", "Ga", "Rh"], "frac_coords": [[0.000, 0.000, 0.000], [0.500, 0.717, 0.717], [0.500, 0.427, 0.427], [0.000, 0.279, 0.279]]}

---

Energy relative to the most stable one, in kJ/mol of atoms: entry i 5.8; entry ii 0.0

---

Entry i
{"formula": "DyThGaRh", "functional": "PBE", "state": "relaxed", "sg": "F-43m", "lattice": [[0.000, 3.582, 3.582], [3.582, 0.000, 3.582], [3.582, 3.582, 0.000]], "species": ["Dy", "Th", "Ga", "Rh"], "frac_coords": [[0.000, 0.000, 0.000], [0.500, 0.500, 0.500], [0.250, 0.250, 0.250], [0.750, 0.750, 0.750]]}

---

Entry ii
{"formula": "DyThGaRh", "functional": "PBE", "state": "relaxed", "sg": "Amm2", "lattice": [[3.907, 0.000, 0.000], [0.000, 2.104, 5.735], [0.000, -2.104, 5.735]], "species": ["Dy", "Th", "Ga", "Rh"], "frac_coords": [[0.000, 0.000, 0.000], [0.500, 0.279, 0.279], [0.500, 0.570, 0.570], [0.000, 0.740, 0.740]]}

---

Energy relative to the most stable one, in kJ/mol of atoms: entry i 18.8; entry ii 0.0

---

Entry i
{"formula": "DyGa3Ru", "functional": "PBE", "state": "relaxed", "sg": "Pm-3m", "lattice": [[6.428, 0.000, 0.000], [0.000, 6.428, 0.000], [0.000, 0.000, 6.428]], "species": ["Dy", "Dy", "Dy", "Ga", "Ga", "Ga", "Ga", "Ga", "Ga", "Ga", "Ga", "Ga", "Ru", "Ru", "Ru"], "frac_coords": [[0.000, 0.000, 0.500], [0.000, 0.500, 0.000], [0.500, 0.000, 0.000], [0.000, 0.000, 0.000], [0.289, 0.289, 0.289], [0.289, 0.289, 0.711], [0.289, 0.711, 0.289], [0.289, 0.711, 0.711], [0.711, 0.289, 0.289], [0.711, 0.289, 0.711], [0.711, 0.711, 0.289], [0.711, 0.711, 0.711], [0.000, 0.500, 0.500], [0.500, 0.000, 0.500], [0.500, 0.500, 0.000]]}

---

Entry ii
{"formula": "DyGa3Ru", "functional": "PBE", "state": "relaxed", "sg": "R-3", "lattice": [[3.599, 2.078, 4.411], [-3.599, 2.078, 4.411], [0.000, -4.155, 4.411]], "species": ["Dy", "Dy", "Ga", "Ga", "Ga", "Ga", "Ga", "Ga", "Ru", "Ru"], "frac_coords": [[0.161, 0.161, 0.161], [0.839, 0.839, 0.839], [0.013, 0.699, 0.365], [0.301, 0.635, 0.987], [0.365, 0.013, 0.699], [0.635, 0.987, 0.301], [0.699, 0.365, 0.013], [0.987, 0.301, 0.635], [0.411, 0.411, 0.411], [0.589, 0.589, 0.589]]}

---

Energy relative to the most stable one, in kJ/mol of atoms: entry i 0.0; entry ii 33.9

---

Entry i
{"formula": "Dy4GaRu2", "functional": "PBE", "state": "relaxed", "sg": "R-3m", "lattice": [[2.436, 1.407, 7.836], [-2.436, 1.407, 7.836], [0.000, -2.813, 7.836]], "species": ["Dy", "Dy", "Dy", "Dy", "Ga", "Ru", "Ru"], "frac_coords": [[0.119, 0.119, 0.119], [0.371, 0.371, 0.371], [0.629, 0.629, 0.629], [0.881, 0.881, 0.881], [0.500, 0.500, 0.500], [0.246, 0.246, 0.246], [0.754, 0.754, 0.754]]}

---

Entry ii
{"formula": "Dy4GaRu2", "functional": "PBE", "state": "relaxed", "sg": "C2", "lattice": [[5.049, -4.360, 0.000], [5.049, 4.360, 0.000], [-4.954, 0.000, 7.565]], "species": ["Dy", "Dy", "Dy", "Dy", "Dy", "Dy", "Dy", "Dy", "Ga", "Ga", "Ru", "Ru", "Ru", "Ru"], "frac_coords": [[0.073, 0.073, 0.361], [0.302, 0.527, 0.751], [0.473, 0.698, 0.249], [0.503, 0.200, 0.266], [0.543, 0.025, 0.811], [0.800, 0.497, 0.734], [0.927, 0.927, 0.639], [0.975, 0.457, 0.189], [0.204, 0.279, 0.946], [0.721, 0.796, 0.054], [0.022, 0.978, 0.000], [0.385, 0.615, 0.500], [0.505, 0.124, 0.541], [0.876, 0.495, 0.459]]}

---

Energy relative to the most stable one, in kJ/mol of atoms: entry i 0.0; entry ii 7.3

---

Entry i
{"formula": "DyTmGaRu", "functional": "PBE", "state": "relaxed", "sg": "Amm2", "lattice": [[4.325, 0.000, 0.000], [0.000, 1.909, 5.314], [0.000, -1.909, 5.314]], "species": ["Dy", "Tm", "Ga", "Ru"], "frac_coords": [[0.000, 0.000, 0.000], [0.500, 0.288, 0.288], [0.500, 0.580, 0.580], [0.000, 0.719, 0.719]]}

---

Entry ii
{"formula": "DyTmGaRu", "functional": "PBE", "state": "relaxed", "sg": "F-43m", "lattice": [[0.000, 3.462, 3.462], [3.462, 0.000, 3.462], [3.462, 3.462, 0.000]], "species": ["Dy", "Tm", "Ga", "Ru"], "frac_coords": [[0.000, 0.000, 0.000], [0.500, 0.500, 0.500], [0.750, 0.750, 0.750], [0.250, 0.250, 0.250]]}

---

Energy relative to the most stable one, in kJ/mol of atoms: entry i 0.0; entry ii 2.2